First-principles (PBE) data for AsAuSe2 after structural relaxation, as listed in Alexandria via LeMat-Bulk.

Output
- ΔE_f (raw): 14 meV/atom
- Symmetry: No. 33

The structure in extended XYZ format:
```
16
Lattice="-3.615 4.397 2.938 -3.005 -5.801 4.983 5.997 1.415 5.262" Properties=species:S:1:pos:R:3 pbc="T T T"
Se -0.807 -0.506 11.632
Se -4.106 -1.274 9.367
Se -0.476 2.118 8.112
Se -0.868 -1.231 5.658
Se 2.104 -0.054 8.201
Se -3.783 1.349 5.841
Se -0.537 1.393 2.138
Se 2.427 2.568 4.675
As 1.203 -1.783 10.425
As 0.823 0.673 6.281
As -3.267 3.547 3.931
As -2.887 1.090 8.075
Au 3.039 0.138 4.620
Au 2.726 -2.482 8.156
Au -2.105 0.979 4.017
Au -2.417 -1.641 7.553
```

First-principles (PBE) data for ZrTc2B6 after structural relaxation, as listed in Alexandria via LeMat-Bulk.

Output
- Fermi-level density of states: 3.695 states/eV per cell
- Symmetry: No. 191
- Energy of formation from the pure elements: -0.41 eV/atom

The structure in extended XYZ format:
```
9
Lattice="-0.226 1.255 -3.205 -2.847 -4.188 -1.439 -2.400 4.304 1.853" Properties=species:S:1:pos:R:3 pbc="T T T"
Tc -2.549 1.473 0.756
Tc -2.924 -0.103 -3.547
B -1.700 3.474 -0.377
B -3.773 -2.103 -2.414
B -1.077 -0.791 -2.090
B -1.890 0.667 -1.462
B -4.396 2.161 -0.701
B -3.583 0.704 -1.328
Zr -2.400 4.304 1.853
```

First-principles (PBE) data for SrLi10Mg2 after structural relaxation, as listed in Alexandria via LeMat-Bulk.

Output
- Fermi-level density of states: 6.015 states/eV per cell
- Symmetry: No. 69
- Energy of formation from the pure elements: 0.00 eV/atom

The structure in extended XYZ format:
```
13
Lattice="5.901 0.000 0.000 2.951 7.211 0.000 2.951 0.000 7.256" Properties=species:S:1:pos:R:3 pbc="T T T"
Li 2.951 4.607 2.596
Li 5.901 4.607 4.660
Li 8.852 5.610 5.618
Li 4.426 0.000 3.628
Li 5.901 2.604 2.596
Li 1.475 0.000 3.628
Li 5.901 5.610 1.638
Li 8.852 2.604 4.660
Li 5.901 1.601 5.618
Li 2.951 1.601 1.638
Mg 1.475 3.605 0.000
Mg 4.426 3.605 0.000
Sr 0.000 0.000 0.000
```

First-principles (PBE) data for CeTlHgBi after structural relaxation, as listed in Alexandria via LeMat-Bulk.

Output
- E above lowest polymorph: 0.0 meV per atom
- Fermi-level density of states: 6.827 states/eV per cell
- Symmetry: No. 47
- Energy of formation from the pure elements: -0.39 eV/atom

The structure in extended XYZ format:
```
4
Lattice="4.652 0.000 0.000 0.000 4.702 0.000 0.000 0.000 5.172" Properties=species:S:1:pos:R:3 pbc="T T T"
Bi 2.326 0.000 2.586
Tl 0.000 0.000 0.000
Ce 0.000 2.351 2.586
Hg 2.326 2.351 0.000
```

First-principles (PBE) data for ScCF2 after structural relaxation, as listed in Alexandria via LeMat-Bulk.

Output
- ΔE_f (raw): -1067 meV/atom
- E above lowest polymorph: 0.0 meV per atom
- Fermi-level density of states: 4.245 states/eV per cell
- Symmetry: No. 122

The structure in extended XYZ format:
```
8
Lattice="3.506 0.000 0.000 0.000 3.506 0.000 1.753 1.753 7.305" Properties=species:S:1:pos:R:3 pbc="T T T"
F 2.629 2.567 5.479
F 2.691 0.876 1.826
F 0.815 2.629 1.826
F 4.382 4.444 5.479
Sc 0.000 0.000 0.000
Sc 3.506 1.753 3.653
C 1.753 1.753 0.000
C 1.753 3.506 3.653
```

First-principles (PBE) data for PdSeS2N after structural relaxation, as listed in Alexandria via LeMat-Bulk.

Output
- ΔE_f (raw): 1045 meV/atom
- E above lowest polymorph: 0.0 meV per atom
- Fermi-level density of states: 4.545 states/eV per cell
- Symmetry: No. 123

The structure in extended XYZ format:
```
5
Lattice="4.894 0.000 0.000 0.000 4.894 0.000 0.000 0.000 3.705" Properties=species:S:1:pos:R:3 pbc="T T T"
Pd 0.000 0.000 0.000
N 0.000 0.000 1.853
Se 2.447 2.447 1.853
S 2.447 0.000 0.000
S 0.000 2.447 0.000
```

First-principles (PBE) data for BeB2Pb after structural relaxation, as listed in Alexandria via LeMat-Bulk.

Output
- E above lowest polymorph: 993.2 meV per atom
- Fermi-level density of states: 1.772 states/eV per cell
- Symmetry: No. 225
- Energy of formation from the pure elements: 1.80 eV/atom

The structure in extended XYZ format:
```
4
Lattice="-1.971 -3.302 -1.890 -3.007 0.714 -2.968 0.794 -0.899 -4.113" Properties=species:S:1:pos:R:3 pbc="T T T"
B -1.046 -0.872 -2.243
B -3.137 -2.616 -6.729
Pb -2.091 -1.744 -4.486
Be 0.000 0.000 0.000
```

First-principles (PBE) data for CaBiPtAu after structural relaxation, as listed in Alexandria via LeMat-Bulk.

Output
- Fermi-level density of states: 1.635 states/eV per cell
- Symmetry: No. 216
- Energy of formation from the pure elements: -0.52 eV/atom

The structure in extended XYZ format:
```
4
Lattice="5.011 0.000 0.000 2.505 4.339 0.000 2.505 1.446 4.091" Properties=species:S:1:pos:R:3 pbc="T T T"
Ca 5.011 2.893 2.046
Bi 0.000 0.000 0.000
Au 7.516 4.339 3.068
Pt 2.505 1.446 1.023
```

First-principles (PBE) data for SbAuF2 after structural relaxation, as listed in Alexandria via LeMat-Bulk.

Output
- ΔE_f (raw): -885 meV/atom
- E above lowest polymorph: 122.0 meV per atom
- Fermi-level density of states: 2.426 states/eV per cell
- Symmetry: No. 166

The structure in extended XYZ format:
```
4
Lattice="1.742 0.000 9.094 -0.871 1.509 9.094 -0.871 -1.509 9.094" Properties=species:S:1:pos:R:3 pbc="T T T"
Sb 0.000 0.000 13.642
Au 0.000 0.000 0.000
F 0.000 0.000 2.805
F 0.000 0.000 24.478
```

First-principles (PBE) data for TlTeBr2 after structural relaxation, as listed in Alexandria via LeMat-Bulk.

Output
- ΔE_f (raw): -210 meV/atom
- E above lowest polymorph: 99.6 meV per atom
- Fermi-level density of states: 2.996 states/eV per cell
- Symmetry: No. 47

The structure in extended XYZ format:
```
4
Lattice="-1.961 3.252 0.713 -4.545 -1.564 -5.367 -2.806 -2.365 3.065" Properties=species:S:1:pos:R:3 pbc="T T T"
Te -2.384 0.444 1.889
Br -3.253 0.844 -2.327
Br 0.000 0.000 0.000
Tl -3.676 -1.964 -1.151
```

Number 1: total magnetic moment 0.000 μB/cell, calculated total energy -3.71 eV per atom. Number 2: total magnetic moment 0.000 μB/cell, calculated total energy -8.11 eV per atom. Number 3: total magnetic moment 0.000 μB/cell, calculated total energy -1.85 eV per atom. Number 4: total magnetic moment 1.067 μB/cell, calculated total energy -3.51 eV per atom. Number 5: total magnetic moment 1.534 μB/cell, calculated total energy -5.89 eV per atom. Number 6: total magnetic moment 0.417 μB/cell, calculated total energy -4.01 eV per atom. Number 7: total magnetic moment 0.000 μB/cell, calculated total energy -3.39 eV per atom. Number 8: total magnetic moment 0.000 μB/cell, calculated total energy -4.32 eV per atom. Number 9: total magnetic moment 0.000 μB/cell, calculated total energy -3.67 eV per atom. Number 10: total magnetic moment 0.000 μB/cell, calculated total energy -2.42 eV per atom.